# LiRePd3 | Alexandria | PBE | relaxed
data_LiRePd3
_chemical_formula_sum 'Li1 Re1 Pd3'
_cell_length_a 4.8378
_cell_length_b 4.8378
_cell_length_c 4.8378
_cell_angle_alpha 90.00
_cell_angle_beta 90.00
_cell_angle_gamma 90.00
_space_group_name_H-M_alt 'P m -3 m'
_space_group_IT_number 221
_space_group_name_Hall '-P 4 2 3'
loop_
_atom_site_label
_atom_site_type_symbol
_atom_site_fract_x
_atom_site_fract_y
_atom_site_fract_z
_atom_site_occupancy
Li1 Li 0.0000 0.0000 0.0000 1
Re1 Re 0.5000 0.5000 0.5000 1
Pd1 Pd 0.0000 0.5000 0.5000 1
# - Total DFT energy (no corrections): -5.08 eV per atom
# - Energy above the lowest structure with this stoichiometry: 189 meV per atom
# - D(E_F): 4.4 states/eV per cell